Entry from Alexandria: a relaxed LaBe3Ni crystal (GGA-PBE).

The energy above the most stable polymorph in this dataset comes out at 0.0 meV per atom. For the calculated formation energy, the calculation gives -0.059 eV per atom.

Cell and atoms, written as POSCAR:
```
LaBe3Ni
1.0
4.2149 0.0000 0.0000
0.0000 4.2149 0.0000
0.0000 0.0000 4.2149
La Be Ni
1 3 1
direct
0.0000 0.0000 0.0000
0.0000 0.5000 0.5000
0.5000 0.0000 0.5000
0.5000 0.5000 0.0000
0.5000 0.5000 0.5000
```